No. 1
A relaxed Ca2PuThN4 crystal. Source: Alexandria, functional PBE.

- Space group: No. 10
- Energy relative to the elements, uncorrected: -1.266 eV/atom

Lattice parameters (Å, degrees): 3.5883 6.2124 6.1287 109.96 90.00 90.00
Closest atoms and distances in Å follow each position.
Positions (direct):
Ca1 0.5000 0.0000 0.5000  6 N 2.59
Ca2 0.0000 0.5000 0.5000  6 N 2.65-2.67
Pu1 0.0000 0.0000 0.0000  6 N 2.38-2.40
Th1 0.5000 0.5000 0.0000  6 N 2.46-2.48
N1 0.5000 0.2269 0.2162  2 Pu 2.38, 1 Th 2.48, 3 Ca 2.59-2.67
N2 0.5000 0.7731 0.7838  2 Pu 2.38, 1 Th 2.48, 3 Ca 2.59-2.67
N3 0.0000 0.2513 0.7761  1 Pu 2.40, 2 Th 2.46, 3 Ca 2.59-2.65
N4 0.0000 0.7487 0.2239  1 Pu 2.40, 2 Th 2.46, 3 Ca 2.59-2.65

=====

No. 2
A relaxed Rb3Sb4Au4 crystal. Source: Alexandria, functional PBE.

- Space group: No. 71
- Energy relative to the elements, uncorrected: -0.321 eV/atom

Lattice parameters (Å, degrees): 4.8420 5.3468 13.9772 101.03 99.97 90.00
Closest atoms and distances in Å follow each position.
Positions (direct):
Rb1 0.3508 0.8508 0.7017  8 Au 3.65-3.84, 7 Sb 3.72-4.03
Rb2 0.6492 0.1492 0.2983  8 Au 3.65-3.84, 7 Sb 3.72-4.03
Rb3 0.0000 0.0000 0.0000  4 Au 3.80, 8 Sb 3.88
Sb1 0.7985 0.2985 0.5971  5 Au 2.74-2.98
Sb2 0.4468 0.4468 0.8936  2 Au 2.73, 1 Sb 2.87
Sb3 0.5532 0.5532 0.1064  2 Au 2.73, 1 Sb 2.87
Sb4 0.2015 0.7015 0.4029  5 Au 2.74-2.98
Au1 0.2501 0.2501 0.5002  4 Sb 2.75-2.98
Au2 0.0998 0.5998 0.1997  3 Sb 2.73-2.74
Au3 0.9002 0.4002 0.8003  3 Sb 2.73-2.74
Au4 0.7499 0.7499 0.4998  4 Sb 2.75-2.98

=====

No. 3
A relaxed Y5ScHg6 crystal. Source: Alexandria, functional PBE.

- Space group: No. 65
- Energy of formation: -0.491 eV/atom

Lattice parameters (Å, degrees): 5.2055 7.4161 8.2691 90.00 71.65 90.00
Closest atoms and distances in Å follow each position.
Positions (direct):
Y1 0.6690 0.5000 0.6619  8 Hg 3.23-3.27
Y2 0.3350 0.0000 0.3301  8 Hg 3.16-3.26
Y3 0.0000 0.5000 0.0000  8 Hg 3.18-3.23
Y4 0.6650 0.0000 0.6699  8 Hg 3.16-3.26
Y5 0.3310 0.5000 0.3381  8 Hg 3.23-3.27
Sc1 0.0000 0.0000 0.0000  8 Hg 3.12-3.17
Hg1 0.8378 0.7571 0.3244  1 Sc 3.12, 7 Y 3.17-3.26
Hg2 0.8378 0.2429 0.3244  1 Sc 3.12, 7 Y 3.17-3.26
Hg3 0.5000 0.2429 0.0000  6 Y 3.16-3.27, 2 Sc 3.17
Hg4 0.5000 0.7571 0.0000  6 Y 3.16-3.27, 2 Sc 3.17
Hg5 0.1622 0.7571 0.6756  1 Sc 3.12, 7 Y 3.17-3.26
Hg6 0.1622 0.2429 0.6756  1 Sc 3.12, 7 Y 3.17-3.26

=====

No. 4
A relaxed Pm12AlSi5 crystal. Source: Alexandria, functional PBE.

- Space group: No. 71
- Energy relative to the elements, uncorrected: -0.481 eV/atom

Lattice parameters (Å, degrees): 8.6719 8.6719 8.6719 106.40 111.82 110.25
Closest atoms and distances in Å follow each position.
Positions (direct):
Pm1 0.5505 0.8201 0.7305  4 Si 3.10-3.26
Pm2 0.4495 0.1799 0.2695  4 Si 3.10-3.26
Pm3 0.9104 0.1799 0.7305  4 Si 3.10-3.26
Pm4 0.0896 0.8201 0.2695  4 Si 3.10-3.26
Pm5 0.7075 0.6774 0.3849  3 Si 2.96-3.00
Pm6 0.2925 0.3226 0.6151  3 Si 2.96-3.00
Pm7 0.2925 0.6774 0.9700  3 Si 2.96-3.00
Pm8 0.7075 0.3226 0.0300  3 Si 2.96-3.00
Pm9 0.8021 0.5639 0.7618  3 Si 3.04-3.37, 1 Al 3.35
Pm10 0.1979 0.4361 0.2382  3 Si 3.04-3.37, 1 Al 3.35
Pm11 0.1979 0.9597 0.7618  3 Si 3.04-3.37, 1 Al 3.35
Pm12 0.8021 0.0403 0.2382  3 Si 3.04-3.37, 1 Al 3.35
Al1 0.0000 0.5000 0.5000  8 Pm 3.35-3.39
Si1 0.6248 0.6248 0.0000  1 Si 2.48
Si2 0.3752 0.3752 0.0000  1 Si 2.48
Si3 0.5000 0.1143 0.6143  1 Si 2.37
Si4 0.5000 0.8857 0.3857  1 Si 2.37
Si5 0.0000 0.0000 0.0000  8 Pm 3.16-3.17

=====

Summary of volume in A^3/atom
16.05; 31.78; 25.25; 27.82
(order as listed above)
Summary of electronic total energy in eV/atom
-8.649; -3.276; -3.863; -5.363
(order as listed above)
Summary of DOS at the Fermi energy in states/eV/cell
7.5; 6.0; 11.2; 14.4
(order as listed above)